1.
A geometry-optimized LiNi2Au structure. Source: the Alexandria database, functional PBE.

Geometry as extended XYZ:
```
4
Lattice="-4.520 -7.376 -1.716 -2.335 -8.484 -0.597 -4.351 -7.611 0.962" Properties=species:S:1:pos:R:3 pbc="T T T"
Ni -5.562 -11.648 -0.670
Ni -0.042 -0.087 -0.005
Li -8.405 -17.602 -1.013
Au -2.802 -5.867 -0.338
```

Output
Space group = No. 166
Crystal system = trigonal
Final energy = -4.04 eV per atom

2.
A geometry-optimized LiNiAu4 structure. Source: the Alexandria database, functional PBE.

Geometry as extended XYZ:
```
6
Lattice="4.688 0.525 2.723 0.590 -2.340 4.882 3.306 -4.289 0.583" Properties=species:S:1:pos:R:3 pbc="T T T"
Au 4.872 -4.434 3.361
Au 5.563 -2.026 4.432
Au 3.513 -3.459 5.513
Ni 0.000 0.000 0.000
Li 6.438 -4.578 6.141
Au 3.218 -2.289 3.070
```

Output
Space group = No. 216
Crystal system = cubic
Final energy = -3.35 eV per atom

3.
A geometry-optimized LiNiAu2 structure. Source: the Alexandria database, functional PBE.

Geometry as extended XYZ:
```
4
Lattice="-0.172 -3.031 -1.807 2.445 -0.841 1.179 -0.561 -3.322 5.626" Properties=species:S:1:pos:R:3 pbc="T T T"
Li 0.385 -2.556 0.798
Au -0.552 -3.317 5.617
Ni 1.327 -4.638 4.200
Au 0.933 -2.087 3.412
```

Output
Space group = No. 47
Crystal system = orthorhombic
Final energy = -3.76 eV per atom

4.
A geometry-optimized Li3NiAu4 structure. Source: the Alexandria database, functional PBE.

Geometry as extended XYZ:
```
8
Lattice="-2.224 3.763 -0.382 -3.619 -2.246 -1.057 1.360 -1.072 6.731" Properties=species:S:1:pos:R:3 pbc="T T T"
Li -2.593 -1.279 2.501
Au -4.099 0.522 3.805
Li -1.889 1.725 2.791
Au -3.309 0.680 0.766
Au -1.173 -0.234 4.526
Ni -1.112 1.882 -0.191
Li -1.809 -1.123 -0.529
Au -0.384 -0.076 1.486
```

Output
Space group = No. 139
Crystal system = tetragonal
Final energy = -3.46 eV per atom

5.
A geometry-optimized LiNiAu structure. Source: the Alexandria database, functional PBE.

Geometry as extended XYZ:
```
6
Lattice="-1.580 2.009 3.605 -1.364 -2.314 0.692 5.460 -2.298 3.076" Properties=species:S:1:pos:R:3 pbc="T T T"
Au 1.709 -1.071 5.345
Ni -1.472 -0.152 2.148
Ni 0.000 0.000 0.000
Au 0.807 -1.531 2.028
Li 3.226 -0.935 3.231
Li 0.653 0.647 3.450
```

Output
Space group = No. 10
ΔE to the lowest computed polymorph = 0.0285 eV/atom
Crystal system = monoclinic

6.
A geometry-optimized LiNi3Au structure. Source: the Alexandria database, functional PBE.

Geometry as extended XYZ:
```
5
Lattice="-0.609 3.253 3.387 0.362 -3.372 3.305 4.682 0.684 0.185" Properties=species:S:1:pos:R:3 pbc="T T T"
Ni -0.304 1.627 1.693
Ni 2.341 0.342 0.093
Li 2.218 0.282 3.438
Au 0.000 0.000 0.000
Ni 0.181 -1.686 1.652
```

Output
Space group = No. 221
ΔE to the lowest computed polymorph = 0.3989 eV/atom
Crystal system = cubic

7.
A geometry-optimized LiNiAu structure. Source: the Alexandria database, functional PBE.

Geometry as extended XYZ:
```
12
Lattice="-0.284 0.237 4.862 -7.620 -2.118 -0.341 1.232 -4.191 -1.496" Properties=species:S:1:pos:R:3 pbc="T T T"
Ni -3.021 -0.681 2.302
Li -1.386 -0.385 -0.062
Ni -0.472 0.027 2.416
Au -5.571 -1.390 2.188
Li -6.491 -1.804 -0.291
Au -1.145 -2.427 1.610
Ni -6.215 -3.836 1.383
Au 0.539 -2.117 -0.751
Li -2.065 -2.840 -0.868
Au -3.887 -1.080 -0.174
Ni -3.666 -3.127 1.498
Li -4.580 -3.539 -0.981
```

Output
Space group = No. 5
ΔE to the lowest computed polymorph = 0.0000 eV/atom
Crystal system = monoclinic

8.
A geometry-optimized LiNi2Au structure. Source: the Alexandria database, functional PBE.

Geometry as extended XYZ:
```
4
Lattice="-2.867 2.089 2.900 2.718 -3.002 2.143 1.823 1.940 0.405" Properties=species:S:1:pos:R:3 pbc="T T T"
Ni 0.000 0.000 0.000
Au -0.522 2.014 1.652
Ni -0.075 -0.457 2.521
Li 2.270 -0.531 1.274
```

Output
Space group = No. 65
Crystal system = orthorhombic
Final energy = -4.20 eV per atom

| no. | total magnetic moment (Bohr magnetons per cell) | D(E_F) (states/eV/atom) |
| --- | --- | --- |
| 1 | 0.4 | 1.4204 |
| 2 | 0.6 | 1.4736 |
| 3 | 0.0 | 0.7338 |
| 4 | 0.0 | 0.5200 |
| 5 | 0.3 | 0.6871 |
| 6 | 2.0 | 2.9240 |
| 7 | 0.0 | 0.4886 |
| 8 | 0.4 | 1.1319 |